This record from Alexandria via LeMat-Bulk describes a relaxed structure of Nd2ScSe2O2. The functional is PBE.

Uncorrected formation energy (eV per atom): -2.503
Uncorrected energy (eV/cell): -50.27
Total magnetization (μB per formula unit): 0.00

a = 8.257 Å, b = 8.257 Å, c = 8.257 Å
α = 150.92°, β = 150.92°, γ = 41.59°
Atoms (fractional coordinates):
Nd 0.122 0.122 0.000
Nd 0.878 0.878 0.000
Sc 0.500 0.500 0.000
Se 0.323 0.323 0.000
Se 0.677 0.677 0.000
O 0.000 0.500 0.500
O 0.500 0.000 0.500